Entry one
Entry from Alexandria via LeMat-Bulk: a crystal of TlReTe2 relaxed with PBEsol (meta-GGA SCAN).

Mass density: 10.6 g/cm³
SG: No. 38
Total moment: 0.00 μB/f.u.

a b c (Å): 3.3243 5.1500 6.4490
angles (deg): 113.53 90.00 90.00
With the nearest neighbours (Å) after each atom.
Sites, in units of the cell vectors:
Re  0.5000  0.1353  0.2706  4 Te 2.58-2.63, 2 Tl 2.86
Te  0.0000  0.3073  0.6145  2 Re 2.63
Te  0.5000  0.6225  0.2449  2 Re 2.58
Tl  0.0000  0.9389  0.8778  2 Re 2.86, 2 Te 3.01


Entry two
Entry from Alexandria via LeMat-Bulk: a crystal of TlReTe2 relaxed with PBEsol (meta-GGA SCAN).

Mass density: 10.6 g/cm³
SG: No. 44
Total moment: 0.00 μB/f.u.

a b c (Å): 3.2546 3.2552 9.8617
angles (deg): 99.50 99.50 90.00
With the nearest neighbours (Å) after each atom.
Sites, in units of the cell vectors:
Re  0.3018  0.8018  0.6037  6 Te 2.65-2.71
Te  0.9109  0.9109  0.8218  2 Re 2.65
Te  0.7270  0.2271  0.4541  4 Re 2.71
Tl  0.5602  0.5602  0.1204  4 Tl 3.25-3.26, 2 Te 3.59


Stability check: which of them is least stable? entry one.